(1)
Material: LaHPt2
Method: DFT, PBE
State: relaxed

Structure (CIF):
```
data_LaHPt2
_chemical_formula_sum 'La4 H4 Pt8'
_cell_length_a 6.692
_cell_length_b 6.692
_cell_length_c 6.692
_cell_angle_alpha 90.00
_cell_angle_beta 90.00
_cell_angle_gamma 90.00
_symmetry_space_group_name_H-M 'F m -3 m'
_symmetry_Int_Tables_number 225
_symmetry_space_group_name_Hall '-F 4 2 3'
loop_
_atom_site_label
_atom_site_fract_x
_atom_site_fract_y
_atom_site_fract_z
_atom_site_occupancy
La1 0.000 0.000 0.000 1
H1 0.000 0.000 0.500 1
Pt1 0.250 0.250 0.250 1
```

- Spin magnetization: 0.00 μB per formula unit
- Crystal system: cubic

=====

(2)
Material: Pr8SmDy6
Method: DFT, PBE
State: relaxed

Structure (CIF):
```
data_Pr8SmDy6
_chemical_formula_sum 'Pr24 Sm3 Dy18'
_cell_length_a 9.7651
_cell_length_b 9.7651
_cell_length_c 18.6756
_cell_angle_alpha 90.00
_cell_angle_beta 90.00
_cell_angle_gamma 120.00
_symmetry_space_group_name_H-M 'R -3'
_symmetry_Int_Tables_number 148
_symmetry_space_group_name_Hall '-R 3'
loop_
_atom_site_label
_atom_site_fract_x
_atom_site_fract_y
_atom_site_fract_z
_atom_site_occupancy
Pr1 0.0000 0.0000 0.0802 1
Pr2 0.0556 0.2440 0.6695 1
Sm1 0.0000 0.0000 0.5000 1
Dy1 0.0399 0.2732 0.1800 1
```

- Spin magnetization: 0.00 μB per formula unit
- Crystal system: trigonal
- E_form: 163.7 meV/atom

=====

(3)
Material: NpTiNbW
Method: DFT, PBE
State: relaxed

Structure (CIF):
```
data_NpTiNbW
_chemical_formula_sum 'Np4 Ti4 Nb4 W4'
_cell_length_a 6.615
_cell_length_b 6.615
_cell_length_c 6.615
_cell_angle_alpha 90.00
_cell_angle_beta 90.00
_cell_angle_gamma 90.00
_symmetry_space_group_name_H-M 'F -4 3 m'
_symmetry_Int_Tables_number 216
_symmetry_space_group_name_Hall 'F -4 2 3'
loop_
_atom_site_label
_atom_site_fract_x
_atom_site_fract_y
_atom_site_fract_z
_atom_site_occupancy
Np1 0.000 0.000 0.000 1
Ti1 0.250 0.250 0.250 1
Nb1 0.000 0.000 0.500 1
W1 0.250 0.250 0.750 1
```

- Spin magnetization: 2.44 μB per formula unit
- Crystal system: cubic
- E_form: 305.7 meV/atom

=====

(4)
Material: ZnNiIr2
Method: DFT, PBE
State: relaxed

Structure (CIF):
```
data_ZnNiIr2
_chemical_formula_sum 'Zn3 Ni3 Ir6'
_cell_length_a 2.7230
_cell_length_b 2.7230
_cell_length_c 25.4763
_cell_angle_alpha 90.00
_cell_angle_beta 90.00
_cell_angle_gamma 120.00
_symmetry_space_group_name_H-M 'R 3 m'
_symmetry_Int_Tables_number 160
_symmetry_space_group_name_Hall 'R 3 -2"'
loop_
_atom_site_label
_atom_site_fract_x
_atom_site_fract_y
_atom_site_fract_z
_atom_site_occupancy
Zn1 0.0000 0.0000 0.0000 1
Ni1 0.0000 0.0000 0.7455 1
Ir1 0.0000 0.0000 0.2464 1
Ir2 0.0000 0.0000 0.4930 1
```

- Spin magnetization: 0.00 μB per formula unit
- Crystal system: trigonal
- E_form: -28.5 meV/atom

=====

(5)
Material: IrCl
Method: DFT, PBE
State: relaxed

Structure (CIF):
```
data_IrCl
_chemical_formula_sum 'Ir1 Cl1'
_cell_length_a 3.151
_cell_length_b 3.151
_cell_length_c 3.151
_cell_angle_alpha 90.00
_cell_angle_beta 90.00
_cell_angle_gamma 90.00
_symmetry_space_group_name_H-M 'P m -3 m'
_symmetry_Int_Tables_number 221
_symmetry_space_group_name_Hall '-P 4 2 3'
loop_
_atom_site_label
_atom_site_fract_x
_atom_site_fract_y
_atom_site_fract_z
_atom_site_occupancy
Ir1 0.000 0.000 0.000 1
Cl1 0.500 0.500 0.500 1
```

- Spin magnetization: 0.00 μB per formula unit
- Crystal system: cubic
- Formation energy without anion corrections: 1420 meV/atom

=====

(6)
Material: Hg2TeRu
Method: DFT, PBE
State: relaxed

Structure (CIF):
```
data_Hg2TeRu
_chemical_formula_sum 'Hg4 Te2 Ru2'
_cell_length_a 9.875
_cell_length_b 3.304
_cell_length_c 6.555
_cell_angle_alpha 90.00
_cell_angle_beta 105.58
_cell_angle_gamma 90.00
_symmetry_space_group_name_H-M 'C 1 m 1'
_symmetry_Int_Tables_number 8
loop_
_symmetry_equiv_pos_as_xyz
'x,y,z'
'x,-y,z'
'x+1/2,y+1/2,z'
'x+1/2,-y+1/2,z'
loop_
_atom_site_label
_atom_site_fract_x
_atom_site_fract_y
_atom_site_fract_z
_atom_site_occupancy
Hg1 0.000 0.000 0.000 1
Hg2 0.211 0.000 0.716 1
Te1 0.357 0.500 0.337 1
Ru1 0.468 0.000 0.635 1
```

- Spin magnetization: 0.00 μB per formula unit
- Crystal system: monoclinic
- Formation energy without anion corrections: 190 meV/atom

=====

(7)
Material: LiAcSbS3
Method: DFT, PBE
State: relaxed

Structure (CIF):
```
data_LiAcSbS3
_chemical_formula_sum 'Li4 Ac4 Sb4 S12'
_cell_length_a 9.397
_cell_length_b 7.508
_cell_length_c 8.708
_cell_angle_alpha 90.00
_cell_angle_beta 105.65
_cell_angle_gamma 90.00
_symmetry_space_group_name_H-M 'C 1 2/m 1'
_symmetry_Int_Tables_number 12
loop_
_symmetry_equiv_pos_as_xyz
'x,y,z'
'-x,-y,-z'
'-x,y,-z'
'x,-y,z'
'x+1/2,y+1/2,z'
'-x+1/2,-y+1/2,-z'
'-x+1/2,y+1/2,-z'
'x+1/2,-y+1/2,z'
loop_
_atom_site_label
_atom_site_fract_x
_atom_site_fract_y
_atom_site_fract_z
_atom_site_occupancy
Li1 0.091 0.000 0.237 1
Ac1 0.195 0.500 0.138 1
Sb1 0.000 0.296 0.500 1
S1 0.064 0.264 0.830 1
S2 0.233 0.000 0.509 1
```

- Spin magnetization: 0.00 μB per formula unit
- Crystal system: monoclinic
- Formation energy without anion corrections: -1150 meV/atom

=====

(8)
Material: Tb3SmIn4Te8
Method: DFT, PBE
State: relaxed

Structure (CIF):
```
data_Tb3SmIn4Te8
_chemical_formula_sum 'Tb9 Sm3 In12 Te24'
_cell_length_a 8.8790
_cell_length_b 8.8790
_cell_length_c 24.3225
_cell_angle_alpha 90.00
_cell_angle_beta 90.00
_cell_angle_gamma 120.00
_symmetry_space_group_name_H-M 'R -3 m'
_symmetry_Int_Tables_number 166
_symmetry_space_group_name_Hall '-R 3 2"'
loop_
_atom_site_label
_atom_site_fract_x
_atom_site_fract_y
_atom_site_fract_z
_atom_site_occupancy
Tb1 0.0000 0.5000 0.0000 1
Sm1 0.0000 0.0000 0.0000 1
In1 0.0000 0.0000 0.5000 1
In2 0.0000 0.5000 0.5000 1
Te1 0.0000 0.0000 0.2602 1
Te2 0.0035 0.5018 0.2594 1
```

- Spin magnetization: 0.00 μB per formula unit
- Crystal system: trigonal
- Formation energy without anion corrections: -979 meV/atom

=====

(9)
Material: LaBe
Method: DFT, PBE
State: relaxed

Structure (CIF):
```
data_LaBe
_chemical_formula_sum 'La4 Be4'
_cell_length_a 5.2706
_cell_length_b 5.2706
_cell_length_c 7.6074
_cell_angle_alpha 90.00
_cell_angle_beta 90.00
_cell_angle_gamma 120.00
_symmetry_space_group_name_H-M 'P 63/m m c'
_symmetry_Int_Tables_number 194
_symmetry_space_group_name_Hall '-P 6c 2c'
loop_
_atom_site_label
_atom_site_fract_x
_atom_site_fract_y
_atom_site_fract_z
_atom_site_occupancy
La1 0.0000 0.0000 0.2500 1
La2 0.3333 0.6667 0.2500 1
Be1 0.3333 0.6667 0.6190 1
```

- Spin magnetization: 0.00 μB per formula unit
- Crystal system: hexagonal
- E_form: 444.6 meV/atom

=====

(10)
Material: RbLiBeI4
Method: DFT, PBE
State: relaxed

Structure (CIF):
```
data_RbLiBeI4
_chemical_formula_sum 'Rb2 Li2 Be2 I8'
_cell_length_a 6.828
_cell_length_b 9.062
_cell_length_c 9.834
_cell_angle_alpha 90.00
_cell_angle_beta 105.13
_cell_angle_gamma 90.00
_symmetry_space_group_name_H-M 'P 1 21/m 1'
_symmetry_Int_Tables_number 11
loop_
_symmetry_equiv_pos_as_xyz
'x,y,z'
'-x,-y,-z'
'-x,y+1/2,-z'
'x,-y+1/2,z'
loop_
_atom_site_label
_atom_site_fract_x
_atom_site_fract_y
_atom_site_fract_z
_atom_site_occupancy
Rb1 0.224 0.250 0.092 1
Li1 0.297 0.250 0.676 1
Be1 0.194 0.750 0.293 1
I1 0.028 0.036 0.730 1
I2 0.353 0.750 0.094 1
I3 0.462 0.750 0.508 1
```

- Spin magnetization: 0.00 μB per formula unit
- Crystal system: monoclinic
- Formation energy without anion corrections: -1002 meV/atom

=====

(11)
Material: Ba3HgH
Method: DFT, PBE
State: relaxed

Structure (CIF):
```
data_Ba3HgH
_chemical_formula_sum 'Ba3 Hg1 H1'
_cell_length_a 5.636
_cell_length_b 5.636
_cell_length_c 5.636
_cell_angle_alpha 90.00
_cell_angle_beta 90.00
_cell_angle_gamma 90.00
_symmetry_space_group_name_H-M 'P m -3 m'
_symmetry_Int_Tables_number 221
_symmetry_space_group_name_Hall '-P 4 2 3'
loop_
_atom_site_label
_atom_site_fract_x
_atom_site_fract_y
_atom_site_fract_z
_atom_site_occupancy
Ba1 0.000 0.000 0.500 1
Hg1 0.500 0.500 0.500 1
H1 0.000 0.000 0.000 1
```

- Spin magnetization: 0.00 μB per formula unit
- Crystal system: cubic

=====

(12)
Material: Er5ThBi4
Method: DFT, PBE
State: relaxed

Structure (CIF):
```
data_Er5ThBi4
_chemical_formula_sum 'Er10 Th2 Bi8'
_cell_length_a 20.105
_cell_length_b 4.365
_cell_length_c 7.681
_cell_angle_alpha 90.00
_cell_angle_beta 100.96
_cell_angle_gamma 90.00
_symmetry_space_group_name_H-M 'C 1 2/m 1'
_symmetry_Int_Tables_number 12
loop_
_symmetry_equiv_pos_as_xyz
'x,y,z'
'-x,-y,-z'
'-x,y,-z'
'x,-y,z'
'x+1/2,y+1/2,z'
'-x+1/2,-y+1/2,-z'
'-x+1/2,y+1/2,-z'
'x+1/2,-y+1/2,z'
loop_
_atom_site_label
_atom_site_fract_x
_atom_site_fract_y
_atom_site_fract_z
_atom_site_occupancy
Er1 0.000 0.000 0.000 1
Er2 0.188 0.500 0.585 1
Er3 0.201 0.500 0.112 1
Th1 0.000 0.000 0.500 1
Bi1 0.067 0.500 0.270 1
Bi2 0.133 0.000 0.825 1
```

- Spin magnetization: 1.25 μB per formula unit
- Crystal system: monoclinic
- E_form: -468.6 meV/atom

=====

| no. | uncorrected energy (eV/atom) | DOS(E_F) (states/eV/f.u.) |
| --- | --- | --- |
| 1 | -5.064 | 5.03 |
| 2 | -4.541 | 23.34 |
| 3 | -10.659 | 8.31 |
| 4 | -6.223 | 3.64 |
| 5 | -3.934 | 3.15 |
| 6 | -3.065 | 4.72 |
| 7 | -4.904 | 0.73 |
| 8 | -4.398 | 0.59 |
| 9 | -3.882 | 1.25 |
| 10 | -2.832 | 0.00 |
| 11 | -2.123 | 7.47 |
| 12 | -5.044 | 9.25 |